DFT (PBE) results for AlOsSe2N after structural relaxation.

a b c (Å): 5.137 5.137 3.668
angles (deg): 90.00 90.00 90.00
Positions (direct):
Al  0.000  0.000  0.000
Os  0.500  0.500  0.500
Se  0.000  0.500  0.500
Se  0.500  0.000  0.500
N  0.500  0.500  0.000

Values from the calculation:
For the excess energy over the best structure of this formula in the dataset, the calculation gives 0.000 eV per atom. As for the total magnetic moment: 0.00 μB/cell. Its space group is No. 123. The uncorrected formation energy comes out at 363 meV per atom.

DFT (PBE) results for YHgBr2 after structural relaxation.

a b c (Å): 3.975 3.975 11.621
angles (deg): 90.00 90.00 121.34
Positions (direct):
Y  0.000  0.000  0.000
Hg  0.000  0.000  0.500
Br  0.500  0.500  0.176
Br  0.500  0.500  0.824

Values from the calculation:
For the excess energy over the best structure of this formula in the dataset, the calculation gives 0.140 eV per atom. As for the total magnetic moment: 0.10 μB/cell. Its space group is No. 65. The uncorrected formation energy comes out at -1043 meV per atom.

DFT (PBE) results for CsK2Ga2Au2 after structural relaxation.

a b c (Å): 6.654 6.654 9.873
angles (deg): 100.82 100.82 41.98
Positions (direct):
Cs  0.000  0.000  0.000
K  0.313  0.313  0.347
K  0.687  0.687  0.653
Ga  0.042  0.042  0.389
Ga  0.958  0.958  0.611
Au  0.420  0.420  0.690
Au  0.580  0.580  0.310

Values from the calculation:
As for the total magnetic moment: 0.00 μB/cell. The value obtained for the formation energy from the elements is -0.228 eV/atom. Its space group is No. 12.

DFT (PBE) results for Cs4PbBr6 after structural relaxation.

a b c (Å): 9.999 9.999 9.999
angles (deg): 89.16 89.16 89.16
Positions (direct):
Cs  0.126  0.750  0.374
Cs  0.250  0.250  0.250
Cs  0.250  0.626  0.874
Cs  0.374  0.126  0.750
Cs  0.626  0.874  0.250
Cs  0.750  0.374  0.126
Cs  0.750  0.750  0.750
Cs  0.874  0.250  0.626
Pb  0.000  0.000  0.000
Pb  0.500  0.500  0.500
Br  0.061  0.928  0.708
Br  0.072  0.292  0.939
Br  0.208  0.428  0.561
Br  0.292  0.939  0.072
Br  0.428  0.561  0.208
Br  0.439  0.792  0.572
Br  0.561  0.208  0.428
Br  0.572  0.439  0.792
Br  0.708  0.061  0.928
Br  0.792  0.572  0.439
Br  0.928  0.708  0.061
Br  0.939  0.072  0.292

Values from the calculation:
As for the total magnetic moment: 0.00 μB/cell. Its space group is No. 167. The uncorrected formation energy comes out at -1583 meV per atom.

DFT (PBE) results for Y2CdCo2 after structural relaxation.

a b c (Å): 5.352 5.352 5.352
angles (deg): 121.11 121.11 88.09
Positions (direct):
Y  0.250  0.750  0.500
Y  0.750  0.250  0.500
Cd  0.000  0.000  0.000
Co  0.352  0.352  0.000
Co  0.648  0.648  0.000

Values from the calculation:
As for the total magnetic moment: 1.32 μB/cell. The value obtained for the formation energy from the elements is 0.035 eV/atom. Its space group is No. 139.

DFT (PBE) results for SrMg2Bi2 after structural relaxation.

a b c (Å): 4.865 4.865 8.032
angles (deg): 90.00 90.00 120.00
Positions (direct):
Sr  0.000  0.000  0.000
Mg  0.333  0.667  0.625
Mg  0.667  0.333  0.375
Bi  0.333  0.667  0.252
Bi  0.667  0.333  0.748

Values from the calculation:
As for the total magnetic moment: 0.00 μB/cell. The value obtained for the formation energy from the elements is -0.584 eV/atom. Its space group is No. 164.

DFT (PBE) results for Tb3Rh after structural relaxation.

a b c (Å): 7.184 9.560 6.313
angles (deg): 90.00 90.00 90.00
Positions (direct):
Tb  0.035  0.250  0.140
Tb  0.177  0.064  0.671
Tb  0.177  0.436  0.671
Tb  0.323  0.564  0.171
Tb  0.323  0.936  0.171
Tb  0.465  0.750  0.640
Tb  0.535  0.250  0.360
Tb  0.677  0.064  0.829
Tb  0.677  0.436  0.829
Tb  0.823  0.564  0.329
Tb  0.823  0.936  0.329
Tb  0.965  0.750  0.860
Rh  0.119  0.750  0.441
Rh  0.381  0.250  0.941
Rh  0.619  0.750  0.059
Rh  0.881  0.250  0.559

Values from the calculation:
As for the total magnetic moment: 0.00 μB/cell. The value obtained for the formation energy from the elements is -0.515 eV/atom. Its space group is No. 62.

DFT (PBE) results for Rb2Zr2Zn after structural relaxation.

a b c (Å): 11.611 11.611 3.320
angles (deg): 90.00 90.00 90.00
Positions (direct):
Rb  0.208  0.292  0.000
Rb  0.292  0.792  0.000
Rb  0.708  0.208  0.000
Rb  0.792  0.708  0.000
Zr  0.076  0.576  0.500
Zr  0.424  0.076  0.500
Zr  0.576  0.924  0.500
Zr  0.924  0.424  0.500
Zn  0.000  0.000  0.500
Zn  0.500  0.500  0.500

Values from the calculation:
As for the total magnetic moment: 3.05 μB/cell. The value obtained for the formation energy from the elements is 1.156 eV/atom. Its space group is No. 127.